Pm2TaTl: relaxed, PBE.

N(E_F): 1.5602 states/eV per atom
DFT formation energy: 554 meV per atom
crystal system: trigonal
M_tot: 0.00 μB per formula unit

a b c (Å): 11.9107 11.9107 11.9107
angles (deg): 15.74 15.74 15.74
Positions (direct):
Pm  0.0847  0.0847  0.0847
Pm  0.9153  0.9153  0.9153
Ta  0.0000  0.0000  0.0000
Tl  0.5000  0.5000  0.5000